Below is crystalline KMgIn at its relaxed geometry, with properties calculated at the GGA-PBE level.

a b c (Å): 4.926 6.248 7.098
angles (deg): 90.00 110.17 90.00
Fractional positions:
K: 0.218 0.250 0.436
K: 0.782 0.750 0.564
Mg: 0.500 0.000 0.000
Mg: 0.500 0.500 0.000
In: 0.061 0.750 0.122
In: 0.939 0.250 0.878

Values from the calculation:
M_tot: 0.00 μB per cell
energy of formation: -0.19 eV per formula unit
density: 2.89 g/cm3
distance to the lowest polymorph of the same formula: 0 meV/atom